(1)
First-principles (GGA-PBE) data for a geometry-optimized HgBi structure, as listed in the Open Quantum Materials Database.

a b c (Å): 6.387 4.540 8.636
angles (deg): 90.00 90.00 90.00
Space group Pmma (No. 51)
Inequivalent atoms, fractional coordinates:
Hg (0.000, 0.000, 0.000) x2
Hg (0.250, 0.500, 0.214) x2
Bi (0.250, 0.000, 0.509) x2
Bi (0.250, 0.500, 0.754) x2

Final energy = -2.118 eV per atom

---

(2)
First-principles (GGA-PBE) data for a geometry-optimized HgBi structure, as listed in the Open Quantum Materials Database.

a b c (Å): 4.444 11.720 4.610
angles (deg): 90.00 90.00 90.00
Space group Cmcm (No. 63)
Inequivalent atoms, fractional coordinates:
Hg (0.000, 0.127, 0.250) x4
Bi (0.000, 0.399, 0.250) x4

Final energy = -2.059 eV per atom

---

(3)
First-principles (GGA-PBE) data for a geometry-optimized HgBi structure, as listed in the Open Quantum Materials Database.

a b c (Å): 4.7467 4.7467 6.2293
angles (deg): 90.00 90.00 120.00
Space group P6_3/mmc (No. 194)
Inequivalent atoms, fractional coordinates:
Hg (0.0000, 0.0000, 0.0000) x2
Bi (0.3333, 0.6667, 0.2500) x2

Final energy = -1.998 eV per atom

---

(4)
First-principles (GGA-PBE) data for a geometry-optimized HgBi structure, as listed in the Open Quantum Materials Database.

a b c (Å): 4.6396 4.6396 6.7222
angles (deg): 90.00 90.00 120.00
Space group P6_3/mmc (No. 194)
Inequivalent atoms, fractional coordinates:
Hg (0.3333, 0.6667, 0.2500) x2
Bi (0.0000, 0.0000, 0.0000) x2

Final energy = -2.035 eV per atom